1.
# Y2Sn6Ru PBE optimized geometry
data_Y2Sn6Ru
_cell_length_a 17.123
_cell_length_b 6.908
_cell_length_c 3.994
_cell_angle_alpha 90.00
_cell_angle_beta 90.06
_cell_angle_gamma 90.00
_space_group_name_H-M_alt 'C 1 2/m 1'
_space_group_IT_number 12
loop_
_space_group_symop_operation_xyz
'x,y,z'
'-x,-y,-z'
'-x,y,-z'
'x,-y,z'
'x+1/2,y+1/2,z'
'-x+1/2,-y+1/2,-z'
'-x+1/2,y+1/2,-z'
'x+1/2,-y+1/2,z'
loop_
_atom_site_label
_atom_site_type_symbol
_atom_site_fract_x
_atom_site_fract_y
_atom_site_fract_z
Y1 Y 0.222 0.000 0.001
Sn1 Sn 0.000 0.228 0.000
Sn2 Sn 0.141 0.293 0.500
Ru1 Ru 0.000 0.500 0.500
# ΔE_f = -0.2870 eV/atom

---

2.
# CuTePd2 PBE optimized geometry
data_CuTePd2
_cell_length_a 3.402
_cell_length_b 3.402
_cell_length_c 5.835
_cell_angle_alpha 90.00
_cell_angle_beta 90.00
_cell_angle_gamma 90.00
_space_group_name_H-M_alt 'P 4/m m m'
_space_group_IT_number 123
_space_group_name_Hall '-P 4 2'
loop_
_atom_site_label
_atom_site_type_symbol
_atom_site_fract_x
_atom_site_fract_y
_atom_site_fract_z
Cu1 Cu 0.000 0.000 0.000
Te1 Te 0.000 0.000 0.500
Pd1 Pd 0.500 0.500 0.237
# E_tot = -4.499 eV/atom

---

3.
# FeRuPb PBE optimized geometry
data_FeRuPb
_cell_length_a 6.172
_cell_length_b 6.172
_cell_length_c 6.172
_cell_angle_alpha 90.00
_cell_angle_beta 90.00
_cell_angle_gamma 90.00
_space_group_name_H-M_alt 'F -4 3 m'
_space_group_IT_number 216
_space_group_name_Hall 'F -4 2 3'
loop_
_atom_site_label
_atom_site_type_symbol
_atom_site_fract_x
_atom_site_fract_y
_atom_site_fract_z
Fe1 Fe 0.000 0.000 0.000
Ru1 Ru 0.250 0.250 0.750
Pb1 Pb 0.000 0.000 0.500
# Energy above the most stable polymorph in this dataset = 0.27 eV per formula unit
# ΔE_f = 0.5865 eV/atom

---

4.
# PmSm6Er5 PBE optimized geometry
data_PmSm6Er5
_cell_length_a 5.064
_cell_length_b 15.204
_cell_length_c 10.092
_cell_angle_alpha 90.00
_cell_angle_beta 90.00
_cell_angle_gamma 90.00
_space_group_name_H-M_alt 'C m m m'
_space_group_IT_number 65
_space_group_name_Hall '-C 2 2'
loop_
_atom_site_label
_atom_site_type_symbol
_atom_site_fract_x
_atom_site_fract_y
_atom_site_fract_z
Pm1 Pm 0.000 0.000 0.000
Sm1 Sm 0.000 0.167 0.251
Sm2 Sm 0.000 0.500 0.252
Er1 Er 0.000 0.000 0.500
Er2 Er 0.000 0.332 0.000
Er3 Er 0.000 0.333 0.500
# ΔE_f = 0.0187 eV/atom

---

5.
# Cd2CO4 PBE optimized geometry
data_Cd2CO4
_cell_length_a 5.300
_cell_length_b 5.300
_cell_length_c 3.085
_cell_angle_alpha 90.00
_cell_angle_beta 90.00
_cell_angle_gamma 90.00
_space_group_name_H-M_alt 'P 4/m m m'
_space_group_IT_number 123
_space_group_name_Hall '-P 4 2'
loop_
_atom_site_label
_atom_site_type_symbol
_atom_site_fract_x
_atom_site_fract_y
_atom_site_fract_z
Cd1 Cd 0.000 0.500 0.000
C1 C 0.000 0.000 0.500
O1 O 0.205 0.205 0.500
# Energy above the most stable polymorph in this dataset = 5.33 eV per formula unit

---

6.
# Cu2OsPdCl PBE optimized geometry
data_Cu2OsPdCl
_cell_length_a 4.266
_cell_length_b 4.266
_cell_length_c 4.582
_cell_angle_alpha 90.00
_cell_angle_beta 90.00
_cell_angle_gamma 90.00
_space_group_name_H-M_alt 'P 4/m m m'
_space_group_IT_number 123
_space_group_name_Hall '-P 4 2'
loop_
_atom_site_label
_atom_site_type_symbol
_atom_site_fract_x
_atom_site_fract_y
_atom_site_fract_z
Cu1 Cu 0.000 0.500 0.000
Os1 Os 0.000 0.000 0.500
Pd1 Pd 0.500 0.500 0.500
Cl1 Cl 0.500 0.500 0.000
# E_tot = -3.946 eV/atom

---

7.
# TmBiPdAu PBE optimized geometry
data_TmBiPdAu
_cell_length_a 7.034
_cell_length_b 7.034
_cell_length_c 7.034
_cell_angle_alpha 90.00
_cell_angle_beta 90.00
_cell_angle_gamma 90.00
_space_group_name_H-M_alt 'F -4 3 m'
_space_group_IT_number 216
_space_group_name_Hall 'F -4 2 3'
loop_
_atom_site_label
_atom_site_type_symbol
_atom_site_fract_x
_atom_site_fract_y
_atom_site_fract_z
Tm1 Tm 0.000 0.000 0.000
Bi1 Bi 0.000 0.000 0.500
Pd1 Pd 0.250 0.250 0.250
Au1 Au 0.250 0.250 0.750
# ΔE_f = -0.6071 eV/atom

---

8.
# CaPm2HoS4 PBE optimized geometry
data_CaPm2HoS4
_cell_length_a 6.891
_cell_length_b 3.965
_cell_length_c 6.954
_cell_angle_alpha 90.00
_cell_angle_beta 109.06
_cell_angle_gamma 90.00
_space_group_name_H-M_alt 'P 1 2/m 1'
_space_group_IT_number 10
loop_
_space_group_symop_operation_xyz
'x,y,z'
'-x,-y,-z'
'-x,y,-z'
'x,-y,z'
loop_
_atom_site_label
_atom_site_type_symbol
_atom_site_fract_x
_atom_site_fract_y
_atom_site_fract_z
Ca1 Ca 0.000 0.000 0.000
Pm1 Pm 0.000 0.500 0.500
Pm2 Pm 0.500 0.000 0.500
Ho1 Ho 0.500 0.500 0.000
S1 S 0.250 0.500 0.241
S2 S 0.256 0.000 0.762
# E_tot = -6.108 eV/atom